Record 1
{
  "formula": "KLiMnS3",
  "functional": "PBE",
  "state": "optimized geometry",
  "mass_density_g_cm3": 2.67,
  "formation_energy_uncorrected_ev_per_fu": -5.35,
  "m_tot_mub_per_cell": 6.0,
  "dos_ef_per_ev_fu": 0.081,
  "cell": [[-0.5975, -1.8874, -3.0678], [2.8083, -6.5638, 3.4913], [-9.0185, 0.9710, 1.1592]],
  "species": ["Mn", "Mn", "S", "S", "S", "S", "S", "S", "K", "K", "Li", "Li"],
  "fractional_positions": [[0.2500, 0.6759, 0.1499], [0.7500, 0.3241, 0.8501], [0.7500, 0.2452, 0.5763], [0.2500, 0.1372, 0.8717], [0.7500, 0.4715, 0.1274], [0.2500, 0.7548, 0.4237], [0.2500, 0.5285, 0.8726], [0.7500, 0.8628, 0.1283], [0.2500, 0.2490, 0.2819], [0.7500, 0.7510, 0.7181], [0.2500, 0.0784, 0.6036], [0.7500, 0.9216, 0.3964]]
}


Record 2
{
  "formula": "KLiMnSe3",
  "functional": "PBE",
  "state": "optimized geometry",
  "mass_density_g_cm3": 3.97,
  "formation_energy_uncorrected_ev_per_fu": -4.95,
  "m_tot_mub_per_cell": 6.0,
  "dos_ef_per_ev_fu": 0.591,
  "cell": [[3.8485, 0.0000, 0.0000], [0.0000, 8.1405, -0.2767], [0.0000, -3.3823, 9.1280]],
  "species": ["Se", "Se", "Se", "Se", "Se", "Se", "Li", "Li", "K", "K", "Mn", "Mn"],
  "fractional_positions": [[0.2500, 0.7463, 0.4235], [0.2500, 0.1241, 0.8709], [0.2500, 0.5327, 0.8757], [0.7500, 0.2537, 0.5765], [0.7500, 0.8759, 0.1291], [0.7500, 0.4673, 0.1243], [0.7500, 0.9222, 0.3956], [0.2500, 0.0778, 0.6044], [0.2500, 0.2587, 0.2930], [0.7500, 0.7413, 0.7070], [0.7500, 0.3182, 0.8483], [0.2500, 0.6818, 0.1517]]
}


Record 3
{
  "formula": "KLiMn2Se4",
  "functional": "PBE",
  "state": "optimized geometry",
  "mass_density_g_cm3": 4.47,
  "formation_energy_uncorrected_ev_per_fu": -5.21,
  "m_tot_mub_per_cell": 16.0,
  "dos_ef_per_ev_fu": 3.123,
  "cell": [[-0.4608, 3.6331, 1.4880], [1.4075, -4.1247, 5.2562], [13.2436, 2.3703, -1.6863]],
  "species": ["Mn", "Mn", "Mn", "Mn", "Se", "Se", "Se", "Se", "Se", "Se", "Se", "Se", "K", "K", "Li", "Li"],
  "fractional_positions": [[0.6323, 0.2645, 0.4361], [0.3677, 0.7355, 0.5639], [0.3677, 0.7355, 0.9361], [0.6323, 0.2645, 0.0639], [0.7410, 0.4819, 0.5958], [0.0000, 0.0000, 0.5000], [0.2590, 0.5181, 0.0958], [0.4320, 0.8639, 0.7500], [0.5680, 0.1361, 0.2500], [0.2590, 0.5181, 0.4042], [0.7410, 0.4819, 0.9042], [0.0000, 0.0000, 0.0000], [0.1162, 0.2324, 0.7500], [0.8838, 0.7676, 0.2500], [0.8345, 0.6690, 0.7500], [0.1655, 0.3310, 0.2500]]
}


Record 4
{
  "formula": "KLiMn2Tc",
  "functional": "PBE",
  "state": "optimized geometry",
  "mass_density_g_cm3": 3.46,
  "e_form_ev_per_atom": 2.34,
  "m_tot_mub_per_cell": 10.3,
  "dos_ef_per_ev_fu": 5.012,
  "cell": [[5.0576, 0.0000, 0.0000], [0.0000, 4.7595, 0.0000], [0.0000, 0.0000, 5.0576]],
  "species": ["K", "Mn", "Mn", "Tc", "Li"],
  "fractional_positions": [[0.0000, 0.0000, 0.0000], [0.0000, 0.0000, 0.5000], [0.5000, 0.0000, 0.0000], [0.0000, 0.5000, 0.0000], [0.5000, 0.5000, 0.5000]]
}


Record 5
{
  "formula": "K2LiMnTl",
  "functional": "PBE",
  "state": "optimized geometry",
  "mass_density_g_cm3": 2.64,
  "e_form_ev_per_atom": 0.68,
  "m_tot_mub_per_cell": 4.2,
  "dos_ef_per_ev_fu": 5.078,
  "cell": [[-0.6948, 6.4851, -0.3543], [-2.6217, -0.5164, -4.3118], [-5.5485, -0.4075, 3.4224]],
  "species": ["Mn", "Li", "K", "K", "Tl"],
  "fractional_positions": [[0.0000, 0.0000, 0.0000], [0.0000, 0.5000, 0.0000], [0.0000, 0.0000, 0.5000], [0.5000, 0.0000, 0.0000], [0.5000, 0.5000, 0.5000]]
}


Record 6
{
  "formula": "KLiY2Mn",
  "functional": "PBE",
  "state": "optimized geometry",
  "mass_density_g_cm3": 2.65,
  "e_form_ev_per_atom": 0.60,
  "m_tot_mub_per_cell": 1.6,
  "dos_ef_per_ev_fu": 3.640,
  "cell": [[-3.4598, 2.5401, 3.0664], [-3.8206, -4.9911, -0.1763], [2.3627, -1.9601, 4.2895]],
  "species": ["Y", "Y", "K", "Mn", "Li"],
  "fractional_positions": [[0.0000, 0.0000, 0.5000], [0.5000, 0.0000, 0.0000], [0.0000, 0.5000, 0.0000], [0.0000, 0.0000, 0.0000], [0.5000, 0.5000, 0.5000]]
}


Record 7
{
  "formula": "KLiMo2",
  "functional": "PBE",
  "state": "optimized geometry",
  "mass_density_g_cm3": 4.67,
  "e_form_ev_per_atom": 0.66,
  "m_tot_mub_per_cell": 0.0,
  "e_above_lowest_polymorph_mev_per_atom": 14,
  "dos_ef_per_ev_fu": 2.435,
  "cell": [[-0.0345, 1.2374, 2.6679], [0.6061, -2.8771, 0.0698], [10.3674, 2.1630, -0.8691]],
  "species": ["Mo", "Mo", "Li", "K"],
  "fractional_positions": [[0.5000, 0.5000, 0.1961], [0.0000, 0.0000, 0.0172], [0.5000, 0.5000, 0.8002], [0.0000, 0.0000, 0.4865]]
}


Record 8
{
  "formula": "KLi2Mo",
  "functional": "PBE",
  "state": "optimized geometry",
  "mass_density_g_cm3": 2.77,
  "e_form_ev_per_atom": 0.88,
  "m_tot_mub_per_cell": 1.2,
  "e_above_lowest_polymorph_mev_per_atom": 170,
  "dos_ef_per_ev_fu": 3.658,
  "cell": [[-0.5581, 0.1379, -2.5987], [-4.8906, -0.7887, 1.0084], [-0.9419, 6.5426, 0.5495]],
  "species": ["Li", "Li", "Mo", "K"],
  "fractional_positions": [[0.5000, 0.5000, 0.2832], [0.0000, 0.0000, 0.0331], [0.0000, 0.0000, 0.4288], [0.5000, 0.5000, 0.7548]]
}


Record 9
{
  "formula": "KLi2Mo",
  "functional": "PBE",
  "state": "optimized geometry",
  "mass_density_g_cm3": 2.30,
  "e_form_ev_per_atom": 1.09,
  "m_tot_mub_per_cell": 4.4,
  "e_above_lowest_polymorph_mev_per_atom": 381,
  "dos_ef_per_ev_fu": 1.467,
  "cell": [[0.0000, 3.7750, 3.7750], [3.7750, 0.0000, 3.7750], [3.7750, 3.7750, 0.0000]],
  "species": ["Li", "Li", "Mo", "K"],
  "fractional_positions": [[0.7500, 0.7500, 0.7500], [0.2500, 0.2500, 0.2500], [0.5000, 0.5000, 0.5000], [0.0000, 0.0000, 0.0000]]
}


Record 10
{
  "formula": "KLi2Mo",
  "functional": "PBE",
  "state": "optimized geometry",
  "mass_density_g_cm3": 3.03,
  "e_form_ev_per_atom": 0.86,
  "m_tot_mub_per_cell": 0.0,
  "e_above_lowest_polymorph_mev_per_atom": 151,
  "dos_ef_per_ev_fu": 3.470,
  "cell": [[5.5902, -0.1324, 0.0511], [-4.6682, 6.2410, -0.0531], [0.0079, 1.1309, 2.3765]],
  "species": ["K", "Li", "Li", "Mo"],
  "fractional_positions": [[0.5000, 0.0000, 0.5000], [0.0000, 0.0000, 0.0000], [0.0000, 0.5000, 0.5000], [0.5000, 0.5000, 0.0000]]
}


Record 11
{
  "formula": "KLi2Mo",
  "functional": "PBE",
  "state": "optimized geometry",
  "mass_density_g_cm3": 2.64,
  "e_form_ev_per_atom": 0.81,
  "m_tot_mub_per_cell": 1.1,
  "e_above_lowest_polymorph_mev_per_atom": 105,
  "dos_ef_per_ev_fu": 3.532,
  "cell": [[-5.0839, 0.2497, 0.0428], [-4.4249, -0.8975, 2.3505], [0.0424, 6.4255, 3.1820]],
  "species": ["Li", "Li", "Mo", "K"],
  "fractional_positions": [[0.0104, 0.0104, 0.9133], [0.4896, 0.4896, 0.5867], [0.7500, 0.7500, 0.7500], [0.2500, 0.2500, 0.2500]]
}


Record 12
{
  "formula": "KLiMo2",
  "functional": "PBE",
  "state": "optimized geometry",
  "mass_density_g_cm3": 4.25,
  "e_form_ev_per_atom": 1.11,
  "m_tot_mub_per_cell": 0.4,
  "e_above_lowest_polymorph_mev_per_atom": 465,
  "dos_ef_per_ev_fu": 4.798,
  "cell": [[-3.1564, 0.2348, 1.3567], [-0.5162, -3.3475, -0.6216], [2.9087, -1.7618, 7.0722]],
  "species": ["Mo", "Mo", "Li", "K"],
  "fractional_positions": [[0.0000, 0.0000, 0.6151], [0.0000, 0.0000, 0.8849], [0.5000, 0.5000, 0.7500], [0.5000, 0.5000, 0.2500]]
}


Record 13
{
  "formula": "KLi2Mo",
  "functional": "PBE",
  "state": "optimized geometry",
  "mass_density_g_cm3": 2.72,
  "e_form_ev_per_atom": 0.77,
  "m_tot_mub_per_cell": 1.0,
  "e_above_lowest_polymorph_mev_per_atom": 62,
  "dos_ef_per_ev_fu": 3.238,
  "cell": [[2.6538, 0.0000, 0.0000], [0.0000, 4.6094, 0.0000], [0.0000, 0.0000, 7.4217]],
  "species": ["Mo", "K", "Li", "Li"],
  "fractional_positions": [[0.5000, 0.5000, 0.2500], [0.5000, 0.5000, 0.7500], [0.0000, 0.0000, 0.0846], [0.0000, 0.0000, 0.4154]]
}


Record 14
{
  "formula": "KLi2Mo",
  "functional": "PBE",
  "state": "optimized geometry",
  "mass_density_g_cm3": 2.72,
  "e_form_ev_per_atom": 0.86,
  "m_tot_mub_per_cell": 1.9,
  "e_above_lowest_polymorph_mev_per_atom": 147,
  "dos_ef_per_ev_fu": 2.637,
  "cell": [[-2.6119, 2.8503, 3.7974], [-4.4945, 1.1702, 2.7923], [1.3640, -4.2627, 4.5709]],
  "species": ["K", "Li", "Li", "Mo"],
  "fractional_positions": [[0.2502, 0.2502, 0.2408], [0.0042, 0.0042, 0.9601], [0.7519, 0.7519, 0.7209], [0.4937, 0.4937, 0.5782]]
}


Record 15
{
  "formula": "KLiMo3",
  "functional": "PBE",
  "state": "optimized geometry",
  "mass_density_g_cm3": 5.94,
  "e_form_ev_per_atom": 3.03,
  "m_tot_mub_per_cell": 0.0,
  "e_above_lowest_polymorph_mev_per_atom": 903,
  "dos_ef_per_ev_fu": 4.181,
  "cell": [[-2.5887, -0.3929, 3.7047], [0.1414, -4.5184, -0.3804], [3.7228, -0.1016, 2.5906]],
  "species": ["Mo", "Mo", "Mo", "K", "Li"],
  "fractional_positions": [[0.5000, 0.0000, 0.0000], [0.0000, 0.5000, 0.0000], [0.0000, 0.0000, 0.5000], [0.0000, 0.0000, 0.0000], [0.5000, 0.5000, 0.5000]]
}


Record 16
{
  "formula": "KLiMo2",
  "functional": "PBE",
  "state": "optimized geometry",
  "mass_density_g_cm3": 4.88,
  "e_form_ev_per_atom": 1.19,
  "m_tot_mub_per_cell": 0.0,
  "e_above_lowest_polymorph_mev_per_atom": 553,
  "dos_ef_per_ev_fu": 2.955,
  "cell": [[3.7258, 0.0000, 0.0000], [0.0000, 3.7258, 0.0000], [1.8629, 1.8629, 11.6531]],
  "species": ["Mo", "Mo", "Mo", "Mo", "Li", "Li", "K", "K"],
  "fractional_positions": [[0.1523, 0.6250, 0.2500], [0.5977, 0.1250, 0.2500], [0.8750, 0.8477, 0.7500], [0.3750, 0.4023, 0.7500], [0.5000, 0.5000, 0.0000], [0.2500, 0.7500, 0.5000], [0.0000, 0.0000, 0.0000], [0.7500, 0.2500, 0.5000]]
}


Record 17
{
  "formula": "KLiMo2",
  "functional": "PBE",
  "state": "optimized geometry",
  "mass_density_g_cm3": 5.07,
  "e_form_ev_per_atom": 1.05,
  "m_tot_mub_per_cell": 0.0,
  "e_above_lowest_polymorph_mev_per_atom": 403,
  "dos_ef_per_ev_fu": 3.579,
  "cell": [[5.0625, 0.0224, 0.0986], [-2.2563, 5.9503, -0.0380], [0.5500, 0.5880, 2.5929]],
  "species": ["Mo", "Mo", "Li", "K"],
  "fractional_positions": [[0.5000, 0.0000, 0.5000], [0.0000, 0.0000, 0.0000], [0.5000, 0.5000, 0.0000], [0.0000, 0.5000, 0.5000]]
}


Record 18
{
  "formula": "KLiMo2",
  "functional": "PBE",
  "state": "optimized geometry",
  "mass_density_g_cm3": 4.96,
  "e_form_ev_per_atom": 1.16,
  "m_tot_mub_per_cell": 0.0,
  "e_above_lowest_polymorph_mev_per_atom": 521,
  "dos_ef_per_ev_fu": 4.148,
  "cell": [[6.3577, 0.0190, 0.0000], [4.1813, 4.7894, 0.0000], [-5.2695, -2.4042, 2.6217]],
  "species": ["Mo", "Mo", "Li", "K"],
  "fractional_positions": [[0.0000, 0.0000, 0.0000], [0.5000, 0.5000, 0.0000], [0.7500, 0.2500, 0.5000], [0.2500, 0.7500, 0.5000]]
}


Record 19
{
  "formula": "KLiMo2",
  "functional": "PBE",
  "state": "optimized geometry",
  "mass_density_g_cm3": 5.15,
  "e_form_ev_per_atom": 0.95,
  "m_tot_mub_per_cell": 0.0,
  "e_above_lowest_polymorph_mev_per_atom": 307,
  "dos_ef_per_ev_fu": 2.357,
  "cell": [[6.5330, -0.0100, 0.0176], [6.0110, 2.5588, 0.0176], [1.8552, 0.3770, 4.5770]],
  "species": ["K", "Mo", "Mo", "Li"],
  "fractional_positions": [[0.7500, 0.7500, 0.7500], [0.9748, 0.9748, 0.0251], [0.5252, 0.5252, 0.4749], [0.2500, 0.2500, 0.2500]]
}


Record 20
{
  "formula": "KLi2Mo",
  "functional": "PBE",
  "state": "optimized geometry",
  "mass_density_g_cm3": 2.18,
  "e_form_ev_per_atom": 1.16,
  "m_tot_mub_per_cell": 4.4,
  "e_above_lowest_polymorph_mev_per_atom": 450,
  "dos_ef_per_ev_fu": 2.508,
  "cell": [[-3.5424, -4.1210, 0.0400], [1.7898, -5.1243, -0.2666], [-0.3581, -3.2332, 4.3533]],
  "species": ["Li", "Li", "K", "Mo"],
  "fractional_positions": [[0.2500, 0.2500, 0.2500], [0.0000, 0.0000, 0.0000], [0.5000, 0.5000, 0.5000], [0.7500, 0.7500, 0.7500]]
}